Below is an optimized crystal structure of CrGaAgCl2, with properties calculated at the GGA-PBE level.

**Raw formation energy**: 1.759 eV per formula unit
**DFT total energy**: -3.49 eV/atom

Unit cell a=5.1946 b=5.1946 c=5.1059 alpha=90.00 beta=90.00 gamma=90.00
Last column: nearest neighbours and their distance in Å.
Space group P4/mmm (No. 123)
Unique sites:
Cr: 0.0000 0.0000 0.0000 [1 per cell]  8 Cl 3.64, 4 Ga 3.67
Ga: 0.5000 0.5000 0.0000 [1 per cell]  2 Ag 2.55
Ag: 0.5000 0.5000 0.5000 [1 per cell]  2 Ga 2.55, 4 Cl 2.60
Cl: 0.0000 0.5000 0.5000 [2 per cell]  2 Ag 2.60